(1)
Compound: Co10B3Mo
Source: the Alexandria database
Functional: PBE-GGA
Structure: optimized geometry

CIF file:
```
data_Co10B3Mo
_chemical_formula_sum 'Co80 B24 Mo8'
_space_group_name_H-M_alt 'F m -3 m'
_space_group_IT_number 225
_space_group_name_Hall '-F 4 2 3'
_cell_length_a 10.4176
_cell_length_b 10.4176
_cell_length_c 10.4176
_cell_angle_alpha 90.00
_cell_angle_beta 90.00
_cell_angle_gamma 90.00
loop_
_atom_site_label
_atom_site_fract_x
_atom_site_fract_y
_atom_site_fract_z
Co1 0.0000 0.1691 0.1691
Co2 0.1181 0.1181 0.3819
B1 0.0000 0.0000 0.2736
Mo1 0.2500 0.2500 0.2500
```

Mass density, g/cm³: 8.43
DFT total energy, eV per cell: -836.11
Calculated formation energy, eV per formula unit: -2.59
Density of states at the Fermi level, states/eV/cell: 98.820

***

(2)
Compound: ThZrS3
Source: the Alexandria database
Functional: PBE-GGA
Structure: optimized geometry

CIF file:
```
data_ThZrS3
_chemical_formula_sum 'Th4 Zr4 S12'
_space_group_name_H-M_alt 'C m c 21'
_space_group_IT_number 36
_space_group_name_Hall 'C 2c -2'
_cell_length_a 3.9393
_cell_length_b 19.3849
_cell_length_c 6.8579
_cell_angle_alpha 90.00
_cell_angle_beta 90.00
_cell_angle_gamma 90.00
loop_
_atom_site_label
_atom_site_fract_x
_atom_site_fract_y
_atom_site_fract_z
Th1 0.0000 0.1573 0.0000
Zr1 0.0000 0.3311 0.9993
S1 0.0000 0.0984 0.6377
S2 0.0000 0.2492 0.3288
S3 0.0000 0.4116 0.6980
```

Mass density, g/cm³: 5.32
DFT total energy, eV per cell: -145.57
Density of states at the Fermi level, states/eV/cell: 3.729